Entry 1:
A geometry-optimized TcHgCl2 structure. Source: Alexandria, functional GGA-PBEsol.

```
TcHgCl2
1.0
-0.275 0.362 3.135
2.055 -3.797 0.619
4.801 2.617 0.119
Tc Cl Hg
1 2 1
Cartesian
3.428 -0.590 0.369 Tc
0.000 0.000 0.000 Cl
2.263 1.490 1.627 Cl
0.890 -1.717 1.877 Hg
```

Summary:
M_tot = 2.906 μB/f.u.
Offset from the most stable computed form = 0 meV per atom
Raw formation energy = 2.137 eV/f.u.
E_tot = -3.428 eV/atom


Entry 2:
A geometry-optimized Ca2YZrTa structure. Source: Alexandria, functional GGA-PBEsol.

```
Ca2YZrTa
1.0
5.051 0.000 0.000
0.000 5.602 0.000
0.000 0.000 5.602
Ta Zr Y Ca
1 1 1 2
Cartesian
0.000 0.000 0.000 Ta
2.525 0.000 0.000 Zr
2.525 2.801 2.801 Y
0.000 2.801 0.000 Ca
0.000 0.000 2.801 Ca
```

Summary:
M_tot = 0.402 μB/f.u.
E_tot = -5.648 eV/atom
Calculated formation energy = 898 meV/atom


Entry 3:
A geometry-optimized LiYZnSe2 structure. Source: Alexandria, functional GGA-PBEsol.

```
LiYZnSe2
1.0
4.598 0.000 0.000
0.000 4.598 0.000
0.000 0.000 4.836
Se Y Li Zn
2 1 1 1
Cartesian
2.299 0.000 0.000 Se
0.000 2.299 0.000 Se
0.000 0.000 2.418 Y
0.000 0.000 0.000 Li
2.299 2.299 2.418 Zn
```

Summary:
M_tot = 0.001 μB/f.u.
Raw formation energy = -0.934 eV/f.u.
E_tot = -3.801 eV/atom


Entry 4:
A geometry-optimized LiLa2Hg structure. Source: Alexandria, functional GGA-PBEsol.

```
LiLa2Hg
1.0
3.775 0.000 0.000
0.000 5.246 0.000
-1.887 -2.623 5.375
Li Hg La
1 1 2
Cartesian
1.887 2.623 0.410 Li
0.000 2.623 2.344 Hg
1.887 0.000 2.807 La
1.887 2.623 5.190 La
```

Summary:
M_tot = 0.001 μB/f.u.
E_tot = -3.550 eV/atom
Calculated formation energy = -243 meV/atom


Entry 5:
A geometry-optimized In4C3 structure. Source: Alexandria, functional GGA-PBEsol.

```
In4C3
1.0
4.749 0.000 0.000
0.000 4.749 0.000
0.000 0.000 4.749
C In
3 4
Cartesian
2.374 0.000 0.000 C
0.000 2.374 0.000 C
0.000 0.000 2.374 C
2.374 2.374 0.000 In
0.000 0.000 0.000 In
0.000 2.374 2.374 In
2.374 0.000 2.374 In
```

Summary:
M_tot = 0.001 μB/f.u.
E_tot = -4.606 eV/atom
Calculated formation energy = 1231 meV/atom


Entry 6:
A geometry-optimized ZnAgHg2 structure. Source: Alexandria, functional GGA-PBEsol.

```
ZnAgHg2
1.0
3.038 0.000 0.000
0.000 4.670 0.000
0.000 0.000 5.400
Ag Hg Zn
1 2 1
Cartesian
0.000 2.335 2.700 Ag
0.000 0.000 0.000 Hg
1.519 0.000 2.700 Hg
1.519 2.335 0.000 Zn
```

Summary:
M_tot = 0.000 μB/f.u.
E_tot = -1.399 eV/atom
Calculated formation energy = 107 meV/atom


Entry 7:
A geometry-optimized CdAgRh2 structure. Source: Alexandria, functional GGA-PBEsol.

```
CdAgRh2
1.0
-1.051 3.211 -2.119
-3.704 -0.251 1.457
3.387 0.804 3.292
Rh Cd Ag
2 1 1
Cartesian
-0.021 2.747 0.421 Rh
0.000 0.000 0.000 Rh
-1.347 1.016 2.209 Cd
-2.377 1.480 -0.331 Ag
```

Summary:
M_tot = 0.891 μB/f.u.
E_tot = -5.044 eV/atom
Calculated formation energy = 152 meV/atom


Entry 8:
A geometry-optimized SiTe2W structure. Source: Alexandria, functional GGA-PBEsol.

```
SiTe2W
1.0
-0.373 -1.960 -2.254
0.211 -1.526 2.587
-9.754 0.562 1.126
Te Si W
2 1 1
Cartesian
-6.913 -1.349 0.955 Te
-0.275 0.016 0.032 Te
-2.957 -1.577 0.498 Si
-4.648 0.268 0.536 W
```

Summary:
M_tot = 0.000 μB/f.u.
Raw formation energy = 2.068 eV/f.u.
E_tot = -6.135 eV/atom


Entry 9:
A geometry-optimized MnZnW2 structure. Source: Alexandria, functional GGA-PBEsol.

```
MnZnW2
1.0
2.729 0.000 0.000
1.364 2.363 0.000
1.364 0.788 8.749
Zn W Mn
1 2 1
Cartesian
2.729 1.575 4.374 Zn
1.364 0.788 2.059 W
4.093 2.363 6.690 W
0.000 0.000 0.000 Mn
```

Summary:
M_tot = 0.004 μB/f.u.
E_tot = -9.391 eV/atom
Calculated formation energy = 349 meV/atom


Entry 10:
A geometry-optimized NbAl2ReI structure. Source: Alexandria, functional GGA-PBEsol.

```
NbAl2ReI
1.0
4.862 0.000 0.000
0.000 4.862 0.000
0.000 0.000 4.864
Nb Al I Re
1 2 1 1
Cartesian
0.000 0.000 2.432 Nb
0.000 2.431 0.000 Al
2.431 0.000 0.000 Al
2.431 2.431 2.432 I
0.000 0.000 0.000 Re
```

Summary:
M_tot = 0.581 μB/f.u.
Raw formation energy = 3.181 eV/f.u.
E_tot = -6.184 eV/atom


Entry 11:
A geometry-optimized KTe2F9 structure. Source: Alexandria, functional GGA-PBEsol.

```
KTe2F9
1.0
-1.050 -4.465 1.250
2.825 -2.143 -8.596
7.419 0.810 5.594
F Te K
18 4 2
Cartesian
4.515 -3.366 -5.614 F
7.254 -2.146 -4.272 F
1.652 -1.915 -3.172 F
0.856 -1.940 0.740 F
4.679 -2.432 3.862 F
7.541 -3.884 1.420 F
2.074 -2.927 -5.973 F
4.959 -4.189 1.259 F
8.338 -3.858 -2.491 F
2.578 -0.543 -1.228 F
1.939 -3.653 2.521 F
3.234 -3.575 -1.180 F
6.615 -5.255 -0.523 F
5.960 -2.223 -0.572 F
7.119 -2.871 4.221 F
4.235 -1.609 -3.011 F
6.028 -1.109 2.251 F
3.165 -4.689 -4.003 F
7.397 -1.025 0.090 Te
1.796 -4.774 -1.842 Te
3.174 -4.645 -6.036 Te
6.019 -1.153 4.284 Te
5.529 -3.949 -2.683 K
3.664 -1.849 0.932 K
```

Summary:
M_tot = 0.000 μB/f.u.
Raw formation energy = -27.842 eV/f.u.
E_tot = -4.448 eV/atom


Entry 12:
A geometry-optimized Cr2ReAgCl structure. Source: Alexandria, functional GGA-PBEsol.

```
Cr2ReAgCl
1.0
-1.747 -4.585 -0.042
0.092 0.011 -4.997
4.670 -1.780 0.082
Cl Ag Cr Re
1 1 2 1
Cartesian
1.507 -3.177 -2.479 Cl
0.000 0.000 0.000 Ag
0.046 0.006 -2.499 Cr
2.335 -0.890 0.041 Cr
-0.873 -2.293 -0.021 Re
```

Summary:
M_tot = 5.547 μB/f.u.
Raw formation energy = 10.265 eV/f.u.
E_tot = -5.774 eV/atom